NiBi2SO | GGA+U | optimized geometry

Output
- Total DFT energy (no corrections): -19.16 eV/cell
- Magnetization: 0.22 μB per cell
- Space group: P4/mmm

Structure (POSCAR):
```
NiBi2SO
1.0
5.288 0.000 0.000
0.000 5.288 0.000
0.000 0.000 3.569
Ni Bi S O
1 2 1 1
Cartesian
0.000 0.000 0.000 Ni
0.000 2.644 0.000 Bi
2.644 0.000 0.000 Bi
2.644 2.644 1.784 S
0.000 0.000 1.784 O
```